[1]
This record from Alexandria describes Pm2DyEr9 after structural relaxation. The functional is PBE.

Cell lengths 4.996, 4.996, 14.978 Å; angles 90.00, 90.00, 90.00 degrees
Atoms (fractional coordinates):
Pm  0.000  0.000  0.167
Pm  0.000  0.000  0.833
Dy  0.000  0.000  0.500
Er  0.000  0.500  0.000
Er  0.000  0.500  0.335
Er  0.000  0.500  0.665
Er  0.500  0.000  0.000
Er  0.500  0.000  0.335
Er  0.500  0.000  0.665
Er  0.500  0.500  0.168
Er  0.500  0.500  0.500
Er  0.500  0.500  0.832

Values from the calculation:
As for the total magnetization: 0.00 μB/atom. The calculation puts the density of states at the Fermi level at 1.392 states/eV/atom. The calculation puts the calculated total energy at -4.574 eV/atom. Its polymorph energy (0 for the lowest one) is 0 meV per atom. The calculation puts the calculated formation energy at 0.0236 eV/atom. As for the symmetry: P4/mmm (123).

[2]
This record from Alexandria describes ZrIr3Pd after structural relaxation. The functional is PBE.

Cell lengths 4.703, 4.703, 4.703 Å; angles 90.00, 90.00, 90.00 degrees
Atoms (fractional coordinates):
Zr  0.000  0.000  0.000
Ir  0.000  0.500  0.500
Ir  0.500  0.000  0.500
Ir  0.500  0.500  0.000
Pd  0.500  0.500  0.500

Values from the calculation:
As for the total magnetization: 0.36 μB/atom. The calculation puts the density of states at the Fermi level at 1.717 states/eV/atom. The calculation puts the calculated total energy at -6.604 eV/atom. Its polymorph energy (0 for the lowest one) is 0 meV per atom. The calculation puts the calculated formation energy at 1.4613 eV/atom. As for the symmetry: Pm-3m (221).

[3]
This record from Alexandria describes TmMgRu2 after structural relaxation. The functional is PBE.

Cell lengths 4.525, 4.525, 3.366 Å; angles 90.00, 90.00, 90.00 degrees
Atoms (fractional coordinates):
Tm  0.000  0.000  0.000
Mg  0.500  0.500  0.000
Ru  0.000  0.500  0.500
Ru  0.500  0.000  0.500

Values from the calculation:
As for the total magnetization: 0.14 μB/atom. The calculation puts the density of states at the Fermi level at 1.568 states/eV/atom. The calculation puts the calculated total energy at -6.242 eV/atom. The calculation puts the calculated formation energy at -0.0872 eV/atom. As for the symmetry: P4/mmm (123).